CsCd2O2 (PBE-GGA, relaxed); calculated volume = 21.4 Å³ per atom; electronic total energy = -33.332 eV/cell; symmetry = No. 15; ΔE_f (raw) = -0.813 eV/atom
1.0
6.583 -0.645 -0.158
-1.998 6.305 -0.158
-2.148 -2.652 5.474
Cs O Cd
2 4 4
direct
0.875 0.125 0.750 Cs
0.125 0.875 0.250 Cs
0.193 0.807 0.750 O
0.807 0.193 0.250 O
0.557 0.443 0.750 O
0.443 0.557 0.250 O
0.488 0.238 0.977 Cd
0.512 0.762 0.023 Cd
0.238 0.488 0.477 Cd
0.762 0.512 0.523 Cd